First-principles (GGA-PBE) data for a relaxed structure of Pm8BS3I4, as listed in Alexandria via LeMat-Bulk.

Cell: 8.231 8.969 8.231 Å, 117.32 120.00 90.00°
Element x y z (fractional)
1 Pm 0.219 0.683 0.964
2 Pm 0.219 0.683 0.438
3 Pm 0.273 0.318 0.545
4 Pm 0.745 0.683 0.964
5 Pm 0.255 0.317 0.036
6 Pm 0.727 0.682 0.455
7 Pm 0.781 0.317 0.562
8 Pm 0.781 0.317 0.036
9 B 0.000 0.500 0.000
10 S 0.500 0.500 0.000
11 S 0.500 0.500 0.500
12 S 0.000 0.500 0.500
13 I 0.500 0.000 0.000
14 I 0.500 0.000 0.500
15 I 0.000 0.000 0.000
16 I 0.000 0.000 0.500

Summary:
Formation energy without anion corrections ... -1294 meV/atom